1.
Below is an optimized crystal structure of Cd2NCl, with properties calculated at the GGA-PBE level.

abc: 4.601 4.601 4.601
angles: 60.00 60.00 60.00
Atoms (fractional coordinates):
N 0.000 0.000 0.000
Cd 0.750 0.750 0.750
Cd 0.250 0.250 0.250
Cl 0.500 0.500 0.500

The uncorrected formation energy comes out at 0.69 eV per atom. Its space group is No. 225. The excess energy over the best structure of this formula in the dataset is 0.828 eV per atom.

=====

2.
Below is an optimized crystal structure of Li2Nd2MgPd5, with properties calculated at the GGA-PBE level.

abc: 3.738 9.755 9.755
angles: 90.00 90.00 90.00
Atoms (fractional coordinates):
Li 0.000 0.380 0.120
Li 0.000 0.880 0.380
Li 0.000 0.120 0.620
Li 0.000 0.620 0.880
Pd 0.500 0.500 0.000
Pd 0.500 0.065 0.792
Pd 0.500 0.935 0.208
Pd 0.500 0.435 0.292
Pd 0.500 0.708 0.435
Pd 0.500 0.292 0.565
Pd 0.500 0.565 0.708
Pd 0.500 0.792 0.935
Pd 0.500 0.000 0.500
Pd 0.500 0.208 0.065
Nd 0.000 0.321 0.821
Nd 0.000 0.679 0.179
Nd 0.000 0.821 0.679
Nd 0.000 0.179 0.321
Mg 0.000 0.500 0.500
Mg 0.000 0.000 0.000

For the energy of formation, the calculation gives -0.633 eV/atom. Its space group is No. 127.

=====

3.
Below is an optimized crystal structure of Rb4PS5, with properties calculated at the GGA-PBE level.

abc: 7.901 7.901 7.901
angles: 100.21 100.21 130.21
Atoms (fractional coordinates):
P 0.919 0.919 0.000
Rb 0.597 0.205 0.818
Rb 0.780 0.597 0.392
Rb 0.205 0.387 0.608
Rb 0.387 0.780 0.182
S 0.794 0.938 0.736
S 0.938 0.203 0.144
S 0.608 0.608 0.000
S 0.058 0.794 0.856
S 0.203 0.058 0.264

The uncorrected formation energy comes out at -0.69 eV per atom. Its space group is No. 79.

=====

4.
Below is an optimized crystal structure of NbCo2AgSb, with properties calculated at the GGA-PBE level.

abc: 4.560 4.954 4.560
angles: 90.00 90.00 90.00
Atoms (fractional coordinates):
Nb 0.500 0.500 0.500
Co 0.500 0.000 0.000
Co 0.000 0.000 0.500
Ag 0.000 0.500 0.000
Sb 0.000 0.000 0.000

The uncorrected formation energy comes out at 1.37 eV per atom. Its space group is No. 123.

=====

5.
Below is an optimized crystal structure of YTaSe3, with properties calculated at the GGA-PBE level.

abc: 5.324 5.324 5.324
angles: 90.00 90.00 90.00
Atoms (fractional coordinates):
Se 0.500 0.000 0.000
Se 0.000 0.000 0.500
Se 0.000 0.500 0.000
Y 0.000 0.000 0.000
Ta 0.500 0.500 0.500

The uncorrected formation energy comes out at 0.40 eV per atom. Its space group is No. 221. The excess energy over the best structure of this formula in the dataset is 0.978 eV per atom.

=====

6.
Below is an optimized crystal structure of Na5B7C3, with properties calculated at the GGA-PBE level.

abc: 9.047 9.047 13.353
angles: 112.84 112.84 18.04
Atoms (fractional coordinates):
B 0.633 0.633 0.016
B 0.967 0.967 0.185
B 0.569 0.569 0.887
B 0.174 0.174 0.099
B 0.962 0.962 0.673
B 0.764 0.764 0.280
B 0.028 0.028 0.806
B 0.831 0.831 0.911
B 0.370 0.370 0.489
B 0.637 0.637 0.524
B 0.040 0.040 0.330
B 0.234 0.234 0.717
B 0.832 0.832 0.413
B 0.426 0.426 0.103
C 0.432 0.432 0.613
C 0.363 0.363 0.976
C 0.572 0.572 0.393
C 0.233 0.233 0.219
C 0.169 0.169 0.588
C 0.767 0.767 0.781
Na 0.597 0.597 0.203
Na 0.799 0.799 0.600
Na 0.200 0.200 0.898
Na 0.801 0.801 0.099
Na 0.201 0.201 0.401
Na 0.998 0.998 0.999
Na 0.601 0.601 0.699
Na 0.401 0.401 0.300
Na 0.001 0.001 0.500
Na 0.399 0.399 0.798

For the energy of formation, the calculation gives 0.130 eV/atom. Its space group is No. 8. The excess energy over the best structure of this formula in the dataset is 0.018 eV per atom.

=====

Calculated energy (eV per atom), listed in the same order as above: -2.313; -4.725; -3.681; -4.886; -5.351; -5.270